[1]
Entry from Alexandria: a geometry-optimized NdAlGa4Pd2 structure (PBE-GGA).

Results
- Energy of formation from the pure elements: -483 meV/atom

abc: 4.4206 4.4206 26.0362
angles: 90.00 90.00 120.00
Space group R-3m (No. 166, hexagonal axes)
One atom of each set of equivalent atoms:
Nd1 0.0000 0.0000 0.0000 [3 per cell]
Al1 0.0000 0.0000 0.5000 [3 per cell]
Ga1 0.0000 0.0000 0.1248 [6 per cell]
Ga2 0.0000 0.0000 0.3976 [6 per cell]
Pd1 0.0000 0.0000 0.2356 [6 per cell]

***

[2]
Entry from Alexandria: a geometry-optimized Nd2AlGa4Pd3 structure (PBE-GGA).

Results
- Energy of formation from the pure elements: -754 meV/atom

abc: 4.259 4.259 10.773
angles: 90.00 90.00 90.00
Space group P-4m2 (No. 115)
One atom of each set of equivalent atoms:
Nd1 0.000 0.500 0.246 [2 per cell]
Al1 0.000 0.000 0.500 [1 per cell]
Ga1 0.000 0.000 0.000 [1 per cell]
Ga2 0.000 0.500 0.640 [2 per cell]
Ga3 0.500 0.500 0.000 [1 per cell]
Pd1 0.000 0.500 0.871 [2 per cell]
Pd2 0.500 0.500 0.500 [1 per cell]

***

[3]
Entry from Alexandria: a geometry-optimized NdAl2GaPd structure (PBE-GGA).

Results
- Energy of formation from the pure elements: -683 meV/atom

abc: 4.141 4.252 11.077
angles: 90.00 90.00 90.00
Space group Imm2 (No. 44)
One atom of each set of equivalent atoms:
Nd1 0.000 0.000 0.000 [2 per cell]
Al1 0.000 0.000 0.381 [2 per cell]
Al2 0.000 0.500 0.245 [2 per cell]
Ga1 0.000 0.000 0.608 [2 per cell]
Pd1 0.000 0.500 0.748 [2 per cell]

***

[4]
Entry from Alexandria: a geometry-optimized Nd2AlGa6Pd structure (PBE-GGA).

Results
- Energy of formation from the pure elements: -423 meV/atom

abc: 6.4088 6.4088 35.2415
angles: 90.00 90.00 120.00
Space group R-3m (No. 166, hexagonal axes)
One atom of each set of equivalent atoms:
Nd1 0.0000 0.0000 0.1079 [6 per cell]
Nd2 0.0000 0.0000 0.2845 [6 per cell]
Al1 0.0000 0.0000 0.4276 [6 per cell]
Ga1 0.0518 0.5259 0.2976 [18 per cell]
Ga2 0.0723 0.5362 0.8661 [18 per cell]
Pd1 0.0000 0.0000 0.0000 [3 per cell]
Pd2 0.0000 0.0000 0.5000 [3 per cell]